Below is a geometry-optimized Cs3KAg2As2 structure, with properties calculated at the PBE level.

The space group is Pm (No. 6) and the conventional cell measures 6.835, 6.488 and 6.889 Å, with angles of 90.00, 106.28 and 90.00 degrees. Symmetry generates all atoms from Cs at (0.000, 0.000, 0.000), Cs at (0.057, 0.500, 0.369), Cs at (0.348, 0.000, 0.661), K at (0.707, 0.500, 0.699), Ag at (0.532, 0.250, 0.190), As at (0.307, 0.500, 0.934) and As at (0.773, 0.000, 0.437).

The calculation puts the energy at -2.69 eV per atom.